# 1
Li3Be2F8 after structural relaxation. Source: Alexandria, functional PBE-GGA.

a b c (Å): 5.4655 5.4655 4.9636
angles (deg): 108.46 108.46 64.51
With the nearest neighbours (Å) after each atom.
Sites, in units of the cell vectors:
1 Li 0.0000 0.0000 0.0000  6 F 2.02-2.10
2 Li 0.2623 0.7377 0.5000  6 F 2.03-2.06
3 Li 0.7377 0.2623 0.5000  6 F 2.03-2.06
4 Be 0.3091 0.3091 0.8650  4 F 1.56-1.58
5 Be 0.6909 0.6909 0.1350  4 F 1.56-1.58
6 F 0.1270 0.1270 0.7453  1 Be 1.56
7 F 0.1503 0.5929 0.7598  1 Be 1.58
8 F 0.3735 0.3735 0.2076  1 Be 1.58
9 F 0.4071 0.8497 0.2402  1 Be 1.58
10 F 0.5929 0.1503 0.7598  1 Be 1.58
11 F 0.6265 0.6265 0.7924  1 Be 1.58
12 F 0.8497 0.4071 0.2402  1 Be 1.58
13 F 0.8730 0.8730 0.2547  1 Be 1.56

Properties
Total magnetic moment   1.03 Bohr magnetons per cell
Space group   C2/m (12)
Calculated total energy   -64.95 eV per cell
D(E_F)   7.36 states/eV/cell

***

# 2
Li2BeF5 after structural relaxation. Source: Alexandria, functional PBE-GGA.

a b c (Å): 8.0526 8.1672 5.9362
angles (deg): 90.00 90.00 90.00
With the nearest neighbours (Å) after each atom.
Sites, in units of the cell vectors:
1 Li 0.0000 0.0000 0.2233  4 F 1.90-1.93
2 Li 0.0000 0.0000 0.7767  4 F 1.90-1.93
3 Li 0.1334 0.3795 0.5000  4 F 1.93-2.00
4 Li 0.3666 0.8795 0.0000  4 F 1.93-2.00
5 Li 0.5000 0.5000 0.2767  4 F 1.90-1.93
6 Li 0.5000 0.5000 0.7233  4 F 1.90-1.93
7 Li 0.6334 0.1205 0.0000  4 F 1.93-2.00
8 Li 0.8666 0.6205 0.5000  4 F 1.93-2.00
9 Be 0.2437 0.2484 0.0000  4 F 1.55-1.58
10 Be 0.2563 0.7484 0.5000  4 F 1.55-1.58
11 Be 0.7437 0.2516 0.5000  4 F 1.55-1.58
12 Be 0.7563 0.7516 0.0000  4 F 1.55-1.58
13 F 0.0773 0.0981 0.5000  2 Li 1.93, 1 F 2.03
14 F 0.0823 0.1447 0.0000  1 Be 1.55
15 F 0.1076 0.6227 0.5000  1 Be 1.58
16 F 0.2444 0.8519 0.2775  1 Be 1.57
17 F 0.2444 0.8519 0.7225  1 Be 1.57
18 F 0.2556 0.3519 0.2225  1 Be 1.57
19 F 0.2556 0.3519 0.7775  1 Be 1.57
20 F 0.3923 0.1227 0.0000  1 Be 1.58
21 F 0.4177 0.6447 0.5000  1 Be 1.55
22 F 0.4227 0.5981 0.0000  2 Li 1.93, 1 F 2.03
23 F 0.5773 0.4019 0.0000  2 Li 1.93, 1 F 2.03
24 F 0.5823 0.3553 0.5000  1 Be 1.55
25 F 0.6076 0.8773 0.0000  1 Be 1.58
26 F 0.7444 0.6481 0.2225  1 Be 1.57
27 F 0.7444 0.6481 0.7775  1 Be 1.57
28 F 0.7556 0.1481 0.2775  1 Be 1.57
29 F 0.7556 0.1481 0.7225  1 Be 1.57
30 F 0.8924 0.3773 0.5000  1 Be 1.58
31 F 0.9177 0.8553 0.0000  1 Be 1.55
32 F 0.9227 0.9019 0.5000  2 Li 1.93, 1 F 2.03

Properties
Total magnetic moment   4.25 Bohr magnetons per cell
Space group   Pnnm (58)
Calculated total energy   -152.19 eV per cell
D(E_F)   29.00 states/eV/cell

***

- Look up the calculated total energy of the second one.
  -152.19 eV per cell

***

- The lowest total magnetic moment belongs to which entry?
  Li3Be2F8

***

- Number 2 is which compound?
  Li2BeF5